[1]
ZrReTe after structural relaxation. Source: Alexandria via LeMat-Bulk, functional GGA-PBE.

Summary:
As for the formation energy (no corrections): 0.2686 eV/atom.

a = 3.3568 Å, b = 3.3568 Å, c = 6.5437 Å
α = 90.00°, β = 90.00°, γ = 120.00°
Last column: nearest neighbours and their distance in Å.
Element x y z (fractional)
Re (0.0000, 0.0000, 0.9847)  3 Zr 2.70, 3 Te 2.91
Te (0.6667, 0.3333, 0.3171)  3 Re 2.91, 3 Zr 3.16
Zr (0.3333, 0.6667, 0.6982)  3 Re 2.70


[2]
Zr2ReTe after structural relaxation. Source: Alexandria via LeMat-Bulk, functional GGA-PBE.

Summary:
As for the formation energy (no corrections): -0.2996 eV/atom.

a = 3.4409 Å, b = 3.4346 Å, c = 7.8117 Å
α = 64.66°, β = 90.00°, γ = 90.00°
Last column: nearest neighbours and their distance in Å.
Element x y z (fractional)
Te (0.5000, 0.7500, 0.7500)  8 Zr 3.11-3.15, 4 Te 3.43-3.44
Zr (0.0000, 0.5311, 0.4706)  4 Re 2.88-2.90, 4 Te 3.11-3.15, 1 Zr 3.11
Zr (0.0000, 0.9689, 0.0294)  4 Re 2.88-2.90, 4 Te 3.11-3.15, 1 Zr 3.11
Re (0.5000, 0.2500, 0.2500)  8 Zr 2.88-2.90


[3]
ThRe4 after structural relaxation. Source: Alexandria via LeMat-Bulk, functional GGA-PBE.

Summary:
The formation energy is 3.3806 eV per atom.

a = 4.8417 Å, b = 4.8417 Å, c = 4.8417 Å
α = 90.00°, β = 90.00°, γ = 90.00°
Last column: nearest neighbours and their distance in Å.
Element x y z (fractional)
Re (0.0000, 0.5000, 0.5000)  2 Th 2.42
Re (0.0000, 0.0000, 0.0000)  12 Re 3.42
Re (0.5000, 0.5000, 0.0000)  2 Th 2.42
Re (0.5000, 0.0000, 0.5000)  2 Th 2.42
Th (0.5000, 0.5000, 0.5000)  6 Re 2.42


[4]
ThRe6 after structural relaxation. Source: Alexandria via LeMat-Bulk, functional GGA-PBE.

Summary:
The formation energy is 1.0085 eV per atom.

a = 5.9594 Å, b = 5.9594 Å, c = 5.9594 Å
α = 109.47°, β = 109.47°, γ = 109.47°
Last column: nearest neighbours and their distance in Å.
Element x y z (fractional)
Re (0.5000, 0.2500, 0.7500)  4 Re 2.43
Re (0.2500, 0.5000, 0.7500)  4 Re 2.43
Re (0.2500, 0.7500, 0.5000)  4 Re 2.43
Re (0.7500, 0.5000, 0.2500)  4 Re 2.43
Re (0.5000, 0.7500, 0.2500)  4 Re 2.43
Re (0.7500, 0.2500, 0.5000)  4 Re 2.43
Th (0.0000, 0.0000, 0.0000)  24 Re 3.85